MnFeTc2 at its PBEsol-relaxed geometry, computed with SCAN.

a b c (Å): 2.6003 4.4534 4.4634
angles (deg): 99.78 90.00 106.97
With the nearest neighbours (Å) after each atom.
Atoms (fractional coordinates):
Mn  0.2430  0.4861  0.7445  3 Fe 2.49-2.65, 7 Tc 2.50-2.67, 2 Mn 2.60
Tc  0.9948  0.9896  0.9830  4 Fe 2.53-2.64, 3 Mn 2.53-2.57, 5 Tc 2.58-2.71
Fe  0.5048  0.0096  0.5006  3 Mn 2.49-2.65, 7 Tc 2.53-2.64, 2 Fe 2.60
Tc  0.7574  0.5147  0.2718  4 Mn 2.50-2.67, 3 Fe 2.53-2.54, 5 Tc 2.58-2.71

Density in Mg/m³: 10.471
ΔE_f in eV/atom: 0.0941
Density of states at the Fermi level in states/eV per cell: 2.98
Space-group type: Cm